First-principles (PBE-GGA) data for crystalline Pr2Tm2Ga3 at its relaxed geometry, as listed in Alexandria via LeMat-Bulk.

Computed properties:
Total magnetization   0.000 μB per atom
Formation energy   -0.4060 eV per atom

Cell lengths 3.706, 5.975, 8.221 Å; angles 91.55, 90.01, 107.70 degrees
Space group P-1 (No. 2)
Inequivalent atoms, fractional coordinates:
Pr 0.208 0.416 0.165
Tm 0.061 0.114 0.694
Ga 0.333 0.667 0.538
Ga 0.500 0.000 0.000